Record 1
## MnAs2Rh (PBEsol)

Data for a relaxed MnAs2Rh crystal.

Calculated values
DFT formation energy in meV/atom: -188.9
Energy above the most stable polymorph in this dataset in meV/atom: 11
Magnetization in μB per cell: 2.760

a b c (Å): 3.2196 4.3755 4.5743
angles (deg): 103.37 110.60 90.00
With the nearest neighbours (Å) after each atom.
Element x y z (fractional)
As 0.0036 0.0572 0.0072  3 Rh 2.51-2.53, 4 Mn 2.67-2.77
As 0.2460 0.6625 0.4920  3 Mn 2.42-2.51, 2 Rh 2.56
Mn 0.5149 0.5764 0.0298  5 As 2.42-2.67
Rh 0.7355 0.2039 0.4711  5 As 2.51-2.56, 1 Mn 2.78

---

Record 2
## MnAsRu2 (PBEsol)

Data for a relaxed MnAsRu2 crystal.

Calculated values
DFT formation energy in meV/atom: 54.1
Magnetization in μB per cell: 1.437

a b c (Å): 2.8988 4.2229 4.9486
angles (deg): 115.26 107.03 90.00
With the nearest neighbours (Å) after each atom.
Element x y z (fractional)
As 0.5052 0.5052 0.0103  2 Mn 2.37, 6 Ru 2.44-2.56
Mn 0.2268 0.7268 0.4535  2 As 2.37, 4 Ru 2.59
Ru 0.9947 0.9947 0.9895  4 As 2.56, 2 Mn 2.69, 4 Ru 2.77-2.82
Ru 0.7733 0.2733 0.5467  2 As 2.44, 4 Mn 2.59

---

Record 3
## MnAsRu (PBEsol)

Data for a relaxed MnAsRu crystal.

Calculated values
DFT formation energy in meV/atom: 73.9
Magnetization in μB per cell: 0.005

a b c (Å): 2.8680 2.8680 5.0117
angles (deg): 106.63 106.63 90.00
With the nearest neighbours (Å) after each atom.
Element x y z (fractional)
As 0.0085 0.0085 0.0171  4 Mn 2.43, 4 Ru 2.56
Mn 0.6537 0.6537 0.3073  4 As 2.43, 4 Ru 2.64
Ru 0.3378 0.3378 0.6756  4 As 2.56, 4 Mn 2.64, 4 Ru 2.87

---

Record 4
## Mn2AsRu (PBEsol)

Data for a relaxed Mn2AsRu crystal.

Calculated values
DFT formation energy in meV/atom: 86.1
Magnetization in μB per cell: 5.517

a b c (Å): 2.8538 4.4164 4.4164
angles (deg): 110.81 90.00 90.00
With the nearest neighbours (Å) after each atom.
Element x y z (fractional)
As 0.5000 0.0000 0.0000  2 Ru 2.51, 8 Mn 2.63
Mn 0.0000 0.0000 0.5000  2 Mn 2.51, 4 As 2.63, 4 Ru 2.63
Mn 0.0000 0.5000 0.0000  2 Mn 2.51, 4 Ru 2.63, 4 As 2.63
Ru 0.5000 0.5000 0.5000  2 As 2.51, 8 Mn 2.63

---

Record 5
## MnAsRu2 (PBEsol)

Data for a relaxed MnAsRu2 crystal.

Calculated values
DFT formation energy in meV/atom: 82.1
Magnetization in μB per cell: 0.001

a b c (Å): 2.8134 2.8134 6.4146
angles (deg): 90.00 90.00 90.00
With the nearest neighbours (Å) after each atom.
Element x y z (fractional)
As 0.0000 0.0000 0.5151  4 Mn 2.41, 4 Ru 2.53
Mn 0.5000 0.5000 0.7279  4 As 2.41, 4 Ru 2.59
Ru 0.0000 0.0000 0.9858  4 Mn 2.59, 8 Ru 2.70-2.81
Ru 0.5000 0.5000 0.2712  4 As 2.53, 8 Ru 2.70-2.81

---

Record 6
## Mn2AsRu (PBEsol)

Data for a relaxed Mn2AsRu crystal.

Calculated values
DFT formation energy in meV/atom: 67.5
Magnetization in μB per cell: 0.005

a b c (Å): 2.7772 2.7772 6.1669
angles (deg): 90.00 90.00 90.00
With the nearest neighbours (Å) after each atom.
Element x y z (fractional)
As 0.5000 0.5000 0.5000  8 Mn 2.43
Mn 0.0000 0.0000 0.7309  4 As 2.43, 4 Ru 2.57
Mn 0.0000 0.0000 0.2691  4 As 2.43, 4 Ru 2.57
Ru 0.5000 0.5000 0.0000  8 Mn 2.57, 4 Ru 2.78

---

Record 7
## Mn2AsRu (PBEsol)

Data for a relaxed Mn2AsRu crystal.

Calculated values
DFT formation energy in meV/atom: 46.2
Magnetization in μB per cell: 2.859

a b c (Å): 2.9387 2.9387 5.7541
angles (deg): 90.00 90.00 90.00
With the nearest neighbours (Å) after each atom.
Element x y z (fractional)
As 0.5000 0.5000 0.7669  5 Mn 2.46-2.69, 4 Ru 2.58
Mn 0.0000 0.0000 0.9961  4 As 2.46, 4 Mn 2.49
Mn 0.5000 0.5000 0.2352  4 Mn 2.49, 4 Ru 2.58, 1 As 2.69
Ru 0.0000 0.0000 0.5018  4 As 2.58, 5 Mn 2.58-2.84

---

Record 8
## MnAsRu2 (PBEsol)

Data for a relaxed MnAsRu2 crystal.

Calculated values
DFT formation energy in meV/atom: -43.2
Magnetization in μB per cell: 3.684

a b c (Å): 3.0627 4.1583 4.1583
angles (deg): 90.00 90.00 90.00
With the nearest neighbours (Å) after each atom.
Element x y z (fractional)
Ru 0.0000 0.0000 0.5000  4 As 2.58, 4 Mn 2.58
Ru 0.0000 0.5000 0.0000  4 As 2.58, 4 Mn 2.58
As 0.5000 0.5000 0.5000  8 Ru 2.58
Mn 0.5000 0.0000 0.0000  8 Ru 2.58

---

| no. | E (eV/atom) |
| --- | --- |
| 1 | -7.217 |
| 2 | -8.749 |
| 3 | -8.273 |
| 4 | -8.614 |
| 5 | -8.721 |
| 6 | -8.633 |
| 7 | -8.654 |
| 8 | -8.846 |